[1]
AcTlHgAs: optimized geometry, PBE.

Values from the calculation:
Formation enthalpy at 0 K = -473 meV per atom

Cell lengths 5.450, 5.450, 5.450 Å; angles 60.00, 60.00, 60.00 degrees
Fractional positions:
Ac (0.000, 0.000, 0.000)
Tl (0.500, 0.500, 0.500)
Hg (0.750, 0.750, 0.750)
As (0.250, 0.250, 0.250)


[2]
VGa2Cu2: optimized geometry, PBE.

Values from the calculation:
Formation enthalpy at 0 K = 35 meV per atom

Cell lengths 7.156, 7.156, 2.680 Å; angles 90.00, 90.00, 90.00 degrees
Fractional positions:
V (0.000, 0.000, 0.000)
V (0.500, 0.500, 0.000)
Ga (0.178, 0.322, 0.500)
Ga (0.322, 0.822, 0.500)
Ga (0.678, 0.178, 0.500)
Ga (0.822, 0.678, 0.500)
Cu (0.122, 0.622, 0.000)
Cu (0.378, 0.122, 0.000)
Cu (0.622, 0.878, 0.000)
Cu (0.878, 0.378, 0.000)


[3]
TcHgRh2: optimized geometry, PBE.

Values from the calculation:
Formation enthalpy at 0 K = 129 meV per atom

Cell lengths 2.818, 3.803, 5.894 Å; angles 90.00, 90.00, 90.00 degrees
Fractional positions:
Tc (0.000, 0.000, 0.000)
Hg (0.000, 0.000, 0.500)
Rh (0.500, 0.500, 0.223)
Rh (0.500, 0.500, 0.777)


[4]
Tb2PrNd5: optimized geometry, PBE.

Values from the calculation:
Formation enthalpy at 0 K = 221 meV per atom

Cell lengths 7.247, 10.190, 8.068 Å; angles 90.00, 103.29, 90.00 degrees
Fractional positions:
Tb (0.093, 0.091, 0.364)
Tb (0.093, 0.409, 0.364)
Tb (0.907, 0.591, 0.636)
Tb (0.907, 0.909, 0.636)
Pr (0.063, 0.750, 0.276)
Pr (0.937, 0.250, 0.724)
Nd (0.248, 0.531, 0.999)
Nd (0.248, 0.969, 0.999)
Nd (0.412, 0.594, 0.638)
Nd (0.412, 0.906, 0.638)
Nd (0.425, 0.250, 0.721)
Nd (0.575, 0.750, 0.279)
Nd (0.588, 0.094, 0.362)
Nd (0.588, 0.406, 0.362)
Nd (0.752, 0.031, 0.001)
Nd (0.752, 0.469, 0.001)


[5]
KAcF14: optimized geometry, PBE.

Values from the calculation:
Formation energy from raw total energies = -1.250 eV per atom

Cell lengths 9.117, 9.117, 9.117 Å; angles 122.92, 109.50, 97.05 degrees
Fractional positions:
K (0.307, 0.057, 0.250)
K (0.693, 0.943, 0.750)
Ac (0.000, 0.000, 0.500)
Ac (0.000, 0.500, 0.000)
F (0.037, 0.140, 0.897)
F (0.044, 0.141, 0.335)
F (0.044, 0.709, 0.903)
F (0.063, 0.689, 0.374)
F (0.185, 0.311, 0.874)
F (0.233, 0.551, 0.682)
F (0.257, 0.860, 0.397)
F (0.307, 0.141, 0.597)
F (0.307, 0.709, 0.165)
F (0.316, 0.500, 0.412)
F (0.316, 0.903, 0.816)
F (0.369, 0.551, 0.818)
F (0.412, 0.097, 0.912)
F (0.412, 0.500, 0.316)
F (0.588, 0.500, 0.684)
F (0.588, 0.903, 0.088)
F (0.631, 0.449, 0.182)
F (0.684, 0.097, 0.184)
F (0.684, 0.500, 0.588)
F (0.693, 0.291, 0.835)
F (0.693, 0.859, 0.403)
F (0.743, 0.140, 0.603)
F (0.767, 0.449, 0.318)
F (0.815, 0.689, 0.126)
F (0.937, 0.311, 0.626)
F (0.956, 0.291, 0.097)
F (0.956, 0.859, 0.665)
F (0.963, 0.860, 0.103)


[6]
PaAgI2: optimized geometry, PBE.

Values from the calculation:
Formation energy from raw total energies = -0.205 eV per atom

Cell lengths 11.129, 11.129, 11.129 Å; angles 19.11, 19.11, 19.11 degrees
Fractional positions:
Pa (0.000, 0.000, 0.000)
Ag (0.500, 0.500, 0.500)
I (0.403, 0.403, 0.403)
I (0.597, 0.597, 0.597)


[7]
Pr8Ge3Te4Pt: optimized geometry, PBE.

Values from the calculation:
Formation energy from raw total energies = -1.203 eV per atom

Cell lengths 8.975, 8.975, 8.975 Å; angles 58.74, 58.74, 58.74 degrees
Fractional positions:
Pr (0.240, 0.741, 0.741)
Pr (0.243, 0.243, 0.243)
Pr (0.259, 0.259, 0.760)
Pr (0.259, 0.760, 0.259)
Pr (0.741, 0.240, 0.741)
Pr (0.741, 0.741, 0.240)
Pr (0.757, 0.757, 0.757)
Pr (0.760, 0.259, 0.259)
Ge (0.000, 0.000, 0.500)
Ge (0.000, 0.500, 0.000)
Ge (0.500, 0.000, 0.000)
Te (0.000, 0.000, 0.000)
Te (0.000, 0.500, 0.500)
Te (0.500, 0.000, 0.500)
Te (0.500, 0.500, 0.000)
Pt (0.500, 0.500, 0.500)


[8]
Li2BeAl: optimized geometry, PBE.

Values from the calculation:
Formation enthalpy at 0 K = 122 meV per atom

Cell lengths 2.960, 2.960, 6.065 Å; angles 90.00, 90.00, 90.00 degrees
Fractional positions:
Li (0.000, 0.000, 0.220)
Li (0.000, 0.000, 0.780)
Be (0.500, 0.500, 0.000)
Al (0.500, 0.500, 0.500)


For reference, Fermi-level density of states by record: 2.758; 2.553; 3.400; 10.916; 0.075; 4.520; 8.084; 0.606 states/eV/f.u..
For reference, E by record: -13.320; -23.191; -24.854; -36.108; -51.400; -16.269; -89.936; -10.809 eV/f.u..